Material: LiAcHg6
Method: DFT, PBE
State: optimized geometry

abc: 5.218 7.178 5.476
angles: 90.00 90.00 90.00
Space group Pmm2 (No. 25)
Inequivalent atoms, fractional coordinates:
Li 0.000 0.000 0.000
Ac 0.500 0.500 0.677
Hg 0.000 0.219 0.530
Hg 0.000 0.500 0.077
Hg 0.500 0.000 0.688
Hg 0.500 0.222 0.173

Calculated values
The value obtained for the formation energy from the elements is -0.299 eV per atom. For the polymorph energy (0 for the lowest one), the calculation gives 0 meV per atom.


Material: InSe4
Method: DFT, PBE
State: optimized geometry

abc: 6.458 6.458 6.458
angles: 90.00 90.00 90.00
Space group Im-3m (No. 229)
Inequivalent atoms, fractional coordinates:
In 0.000 0.000 0.000
Se 0.250 0.250 0.250

Calculated values
The calculation puts the raw formation energy at 0.353 eV/atom. For the polymorph energy (0 for the lowest one), the calculation gives 344 meV per atom.


Material: LiLa2BiO5
Method: DFT, PBE
State: optimized geometry

abc: 3.562 13.805 10.530
angles: 90.00 90.00 90.00
Space group Cmc2_1 (No. 36)
Inequivalent atoms, fractional coordinates:
Li 0.000 0.002 0.000
La 0.000 0.370 0.679
La 0.000 0.391 0.294
Bi 0.000 0.316 0.985
O 0.000 0.004 0.307
O 0.000 0.151 0.009
O 0.000 0.193 0.626
O 0.000 0.216 0.311
O 0.000 0.477 0.075

Calculated values
The calculation puts the raw formation energy at -2.461 eV/atom.


Material: Er2Sc8Pb3
Method: DFT, PBE
State: optimized geometry

abc: 6.0289 6.0289 33.5913
angles: 90.00 90.00 120.00
Space group R-3m (No. 166, hexagonal axes)
Inequivalent atoms, fractional coordinates:
Er 0.0000 0.0000 0.1379
Sc 0.0000 0.0000 0.2299
Sc 0.0048 0.5024 0.7225
Pb 0.0000 0.0000 0.3140
Pb 0.0000 0.0000 0.5000

Calculated values
The value obtained for the formation energy from the elements is 0.061 eV per atom.


Material: ZnPt4Br
Method: DFT, PBE
State: optimized geometry

abc: 7.584 7.584 7.584
angles: 90.00 90.00 90.00
Space group F-43m (No. 216)
Inequivalent atoms, fractional coordinates:
Zn 0.000 0.000 0.000
Pt 0.126 0.126 0.374
Br 0.250 0.250 0.750

Calculated values
The calculation puts the raw formation energy at 0.372 eV/atom.


Material: LuPd3
Method: DFT, PBE
State: optimized geometry

abc: 4.147 4.147 8.025
angles: 90.00 90.00 90.00
Space group I4/mmm (No. 139)
Inequivalent atoms, fractional coordinates:
Lu 0.000 0.000 0.000
Pd 0.000 0.000 0.500
Pd 0.000 0.500 0.250

Calculated values
The value obtained for the formation energy from the elements is -0.832 eV per atom.